## w
Entry from Alexandria via LeMat-Bulk: an optimized crystal structure of AcCoGe (PBE).

```
AcCoGe
1.0
4.256 0.000 0.000
0.000 4.256 0.000
0.000 0.000 7.535
Ac Co Ge
2 2 2
Cartesian
1.064 1.064 1.471
3.192 3.192 6.064
1.064 3.192 3.768
3.192 1.064 3.768
1.064 1.064 4.961
3.192 3.192 2.575
```

## x
Entry from Alexandria via LeMat-Bulk: an optimized crystal structure of AcCoGe (PBE).

```
AcCoGe
1.0
4.191 0.000 0.000
-2.095 3.629 0.000
0.000 0.000 4.512
Ac Co Ge
1 1 1
Cartesian
0.000 0.000 0.000
0.000 2.419 2.256
2.095 1.210 2.256
```

## y
Entry from Alexandria via LeMat-Bulk: an optimized crystal structure of AcCoGe (PBE).

```
AcCoGe
1.0
6.775 0.000 0.000
0.000 6.775 0.000
0.000 0.000 6.400
Ac Co Ge
4 4 4
Cartesian
1.454 1.454 0.000
1.933 4.842 1.600
4.842 1.933 4.800
5.320 5.320 3.200
0.891 5.884 4.800
2.496 2.496 3.200
4.278 4.278 0.000
5.884 0.891 1.600
0.857 0.857 3.200
2.530 4.244 4.800
4.244 2.530 1.600
5.918 5.918 0.000
```

Which structure is the least stable? The one labeled y.

## w
Entry from Alexandria via LeMat-Bulk: an optimized crystal structure of Ac4CoGe2 (PBE).

```
Ac4CoGe2
1.0
5.231 0.000 0.000
0.000 5.231 0.000
0.000 0.000 16.990
Ac Co Ge
8 2 4
Cartesian
0.000 0.000 3.060
0.000 0.000 13.929
0.000 2.615 0.000
0.000 2.615 8.495
2.615 0.000 0.000
2.615 0.000 8.495
2.615 2.615 5.435
2.615 2.615 11.555
0.000 0.000 0.000
2.615 2.615 8.495
0.000 0.000 6.199
0.000 0.000 10.791
2.615 2.615 2.296
2.615 2.615 14.694
```

## x
Entry from Alexandria via LeMat-Bulk: an optimized crystal structure of Ac4CoGe2 (PBE).

```
Ac4CoGe2
1.0
12.266 0.000 0.000
0.000 4.697 0.000
-4.986 0.000 7.534
Ac Co Ge
8 2 4
Cartesian
-0.792 0.000 2.705
1.803 2.349 0.535
-0.656 0.000 7.000
1.939 2.349 4.830
5.341 2.349 2.705
7.936 0.000 0.535
5.478 2.349 7.000
8.072 0.000 4.830
0.000 0.000 0.000
6.133 2.349 0.000
-1.704 2.349 4.862
2.852 0.000 2.672
4.429 0.000 4.862
8.985 2.349 2.672
```

Which structure is the least stable? The one labeled w.

## w
Entry from Alexandria via LeMat-Bulk: an optimized crystal structure of Ac3Co2Ge4 (PBE).

```
Ac3Co2Ge4
1.0
5.905 -2.123 0.000
5.905 2.123 0.000
-1.153 0.000 8.616
Ac Co Ge
3 2 4
Cartesian
0.000 0.000 0.000
3.630 0.000 2.963
7.028 0.000 5.653
3.836 0.000 6.240
6.821 0.000 2.376
0.310 0.000 3.222
2.209 0.000 7.934
8.448 0.000 0.682
10.347 0.000 5.394
```

## x
Entry from Alexandria via LeMat-Bulk: an optimized crystal structure of Ac3Co2Ge4 (PBE).

```
Ac3Co2Ge4
1.0
5.958 -2.157 0.000
5.958 2.157 0.000
-2.550 0.000 8.123
Ac Co Ge
3 2 4
Cartesian
0.000 0.000 0.000
3.846 0.000 2.544
5.520 0.000 5.579
1.931 0.000 5.115
7.435 0.000 3.008
0.462 0.000 3.218
1.062 0.000 7.444
8.305 0.000 0.679
8.905 0.000 4.905
```

Which structure is the least stable? The one labeled x.

## w
Entry from Alexandria via LeMat-Bulk: an optimized crystal structure of Ac2CoHg (PBE).

```
Ac2CoHg
1.0
4.248 0.000 0.000
-2.124 3.679 0.000
0.000 0.000 24.345
Ac Co Hg
6 3 3
Cartesian
0.000 0.000 0.000
0.000 0.000 4.974
0.000 2.453 16.230
0.000 2.453 21.204
2.124 1.226 8.115
2.124 1.226 13.089
0.000 0.000 14.691
0.000 2.453 6.575
2.124 1.226 22.806
0.000 0.000 18.719
0.000 2.453 10.604
2.124 1.226 2.489
```

## x
Entry from Alexandria via LeMat-Bulk: an optimized crystal structure of Ac2CoHg (PBE).

```
Ac2CoHg
1.0
4.185 0.000 0.000
-2.093 3.625 0.000
0.000 0.000 30.249
Ac Co Hg
6 3 3
Cartesian
0.000 0.000 3.496
0.000 0.000 26.753
0.000 2.416 16.670
0.000 2.416 23.661
2.093 1.208 6.587
2.093 1.208 13.579
0.000 0.000 15.124
0.000 2.416 5.041
2.093 1.208 25.207
0.000 0.000 0.000
0.000 2.416 20.166
2.093 1.208 10.083
```

Which structure is the least stable? The one labeled x.